(1)
Below is a relaxed structure of CeTiNbN3, with properties calculated at the GGA-PBE level.

a = 6.438 Å, b = 3.027 Å, c = 7.830 Å
α = 90.00°, β = 91.03°, γ = 90.00°
Element x y z (fractional)
1 Ce 0.006 0.250 0.186
2 Ce 0.994 0.750 0.814
3 Ti 0.497 0.250 0.172
4 Ti 0.503 0.750 0.828
5 Nb 0.295 0.250 0.498
6 Nb 0.705 0.750 0.502
7 N 0.281 0.750 0.285
8 N 0.285 0.250 0.947
9 N 0.290 0.250 0.766
10 N 0.710 0.750 0.234
11 N 0.715 0.750 0.053
12 N 0.719 0.250 0.715

## Properties
**Uncorrected formation energy**: -0.702 eV per atom
**D(E_F)**: 0.89 states/eV per atom
**Magnetic moment**: 0.37 μB per cell

(2)
Below is a relaxed structure of Be3SiPd, with properties calculated at the GGA-PBE level.

a = 4.223 Å, b = 4.223 Å, c = 4.223 Å
α = 90.00°, β = 90.00°, γ = 90.00°
Element x y z (fractional)
1 Be 0.000 0.000 0.500
2 Be 0.000 0.500 0.000
3 Be 0.500 0.000 0.000
4 Si 0.500 0.500 0.500
5 Pd 0.000 0.000 0.000

## Properties
**Uncorrected formation energy**: 0.636 eV per atom
**D(E_F)**: 0.41 states/eV per atom
**Excess energy over the best structure of this formula in the dataset**: 0 meV per atom
**Magnetic moment**: 0.00 μB per cell

(3)
Below is a relaxed structure of RhBr3, with properties calculated at the GGA-PBE level.

a = 3.750 Å, b = 3.750 Å, c = 27.042 Å
α = 90.00°, β = 90.00°, γ = 120.00°
Element x y z (fractional)
1 Rh 0.000 0.000 0.000
2 Rh 0.333 0.667 0.667
3 Rh 0.667 0.333 0.333
4 Br 0.000 0.000 0.385
5 Br 0.000 0.000 0.500
6 Br 0.000 0.000 0.615
7 Br 0.333 0.667 0.052
8 Br 0.333 0.667 0.167
9 Br 0.333 0.667 0.282
10 Br 0.667 0.333 0.718
11 Br 0.667 0.333 0.833
12 Br 0.667 0.333 0.948

## Properties
**Uncorrected formation energy**: 0.033 eV per atom
**D(E_F)**: 1.57 states/eV per atom
**Magnetic moment**: 0.00 μB per cell

(4)
Below is a relaxed structure of Mn2GaRu3, with properties calculated at the GGA-PBE level.

a = 4.245 Å, b = 12.714 Å, c = 3.017 Å
α = 90.00°, β = 90.00°, γ = 90.00°
Element x y z (fractional)
1 Mn 0.000 0.167 0.000
2 Mn 0.000 0.833 0.000
3 Mn 0.500 0.333 0.000
4 Mn 0.500 0.667 0.000
5 Ga 0.000 0.500 0.000
6 Ga 0.500 0.000 0.000
7 Ru 0.000 0.000 0.500
8 Ru 0.000 0.331 0.500
9 Ru 0.000 0.669 0.500
10 Ru 0.500 0.169 0.500
11 Ru 0.500 0.500 0.500
12 Ru 0.500 0.831 0.500

## Properties
**Formation energy from the elements**: -124 meV per atom
**D(E_F)**: 0.82 states/eV per atom
**Magnetic moment**: 11.06 μB per cell

(5)
Below is a relaxed structure of La2Pd3Pt2, with properties calculated at the GGA-PBE level.

a = 9.747 Å, b = 4.175 Å, c = 8.384 Å
α = 90.00°, β = 116.47°, γ = 90.00°
Element x y z (fractional)
1 La 0.192 0.000 0.267
2 La 0.308 0.500 0.733
3 La 0.692 0.500 0.267
4 La 0.808 0.000 0.733
5 Pd 0.000 0.500 0.000
6 Pd 0.007 0.500 0.342
7 Pd 0.493 0.000 0.658
8 Pd 0.500 0.000 0.000
9 Pd 0.507 0.000 0.342
10 Pd 0.993 0.500 0.658
11 Pt 0.160 0.000 0.902
12 Pt 0.340 0.500 0.098
13 Pt 0.660 0.500 0.902
14 Pt 0.840 0.000 0.098

## Properties
**Formation energy from the elements**: -708 meV per atom
**D(E_F)**: 0.50 states/eV per atom
**Magnetic moment**: 0.00 μB per cell

(6)
Below is a relaxed structure of K3Cu2AgF9, with properties calculated at the GGA-PBE level.

a = 5.884 Å, b = 5.884 Å, c = 7.275 Å
α = 90.00°, β = 90.00°, γ = 120.00°
Element x y z (fractional)
1 K 0.000 0.000 0.000
2 K 0.333 0.667 0.665
3 K 0.667 0.333 0.335
4 Cu 0.333 0.667 0.154
5 Cu 0.667 0.333 0.846
6 Ag 0.000 0.000 0.500
7 F 0.000 0.500 0.000
8 F 0.176 0.351 0.315
9 F 0.176 0.824 0.315
10 F 0.351 0.176 0.685
11 F 0.500 0.000 0.000
12 F 0.500 0.500 0.000
13 F 0.649 0.824 0.315
14 F 0.824 0.176 0.685
15 F 0.824 0.649 0.685

## Properties
**Uncorrected formation energy**: -2.033 eV per atom
**D(E_F)**: 0.38 states/eV per atom
**Magnetic moment**: 0.00 μB per cell

(7)
Below is a relaxed structure of MgTiCo, with properties calculated at the GGA-PBE level.

a = 8.128 Å, b = 8.128 Å, c = 6.698 Å
α = 92.26°, β = 92.26°, γ = 26.08°
Element x y z (fractional)
1 Mg 0.033 0.033 0.276
2 Mg 0.404 0.404 0.058
3 Mg 0.596 0.596 0.942
4 Mg 0.967 0.967 0.724
5 Ti 0.171 0.171 0.589
6 Ti 0.231 0.231 0.153
7 Ti 0.769 0.769 0.847
8 Ti 0.829 0.829 0.411
9 Co 0.329 0.329 0.691
10 Co 0.430 0.430 0.442
11 Co 0.570 0.570 0.558
12 Co 0.671 0.671 0.309

## Properties
**Formation energy from the elements**: -55 meV per atom
**D(E_F)**: 0.85 states/eV per atom
**Excess energy over the best structure of this formula in the dataset**: 134 meV per atom
**Magnetic moment**: 0.00 μB per cell

(8)
Below is a relaxed structure of Na10B17C3, with properties calculated at the GGA-PBE level.

a = 2.961 Å, b = 2.961 Å, c = 43.054 Å
α = 90.00°, β = 90.00°, γ = 120.00°
Element x y z (fractional)
1 Na 0.000 0.000 0.049
2 Na 0.000 0.000 0.150
3 Na 0.000 0.000 0.251
4 Na 0.000 0.000 0.349
5 Na 0.000 0.000 0.450
6 Na 0.000 0.000 0.550
7 Na 0.000 0.000 0.651
8 Na 0.000 0.000 0.749
9 Na 0.000 0.000 0.850
10 Na 0.000 0.000 0.951
11 B 0.333 0.667 0.099
12 B 0.333 0.667 0.201
13 B 0.333 0.667 0.300
14 B 0.333 0.667 0.399
15 B 0.333 0.667 0.500
16 B 0.333 0.667 0.601
17 B 0.333 0.667 0.700
18 B 0.333 0.667 0.799
19 B 0.333 0.667 0.901
20 B 0.667 0.333 0.000
21 B 0.667 0.333 0.099
22 B 0.667 0.333 0.201
23 B 0.667 0.333 0.399
24 B 0.667 0.333 0.500
25 B 0.667 0.333 0.601
26 B 0.667 0.333 0.799
27 B 0.667 0.333 0.901
28 C 0.333 0.667 0.000
29 C 0.667 0.333 0.300
30 C 0.667 0.333 0.700

## Properties
**Formation energy from the elements**: 251 meV per atom
**D(E_F)**: 0.42 states/eV per atom
**Excess energy over the best structure of this formula in the dataset**: 47 meV per atom
**Magnetic moment**: 0.00 μB per cell

(9)
Below is a relaxed structure of K3H2O4, with properties calculated at the GGA-PBE level.

a = 6.723 Å, b = 6.723 Å, c = 6.723 Å
α = 146.59°, β = 115.00°, γ = 75.08°
Element x y z (fractional)
1 K 0.000 0.000 0.000
2 K 0.307 0.807 0.500
3 K 0.693 0.193 0.500
4 H 0.296 0.500 0.796
5 H 0.704 0.500 0.204
6 O 0.145 0.394 0.751
7 O 0.356 0.606 0.751
8 O 0.644 0.394 0.249
9 O 0.855 0.606 0.249

## Properties
**D(E_F)**: 0.67 states/eV per atom
**Magnetic moment**: 3.00 μB per cell
**E_tot**: -4.14 eV/atom

(10)
Below is a relaxed structure of PmMgRh, with properties calculated at the GGA-PBE level.

a = 5.353 Å, b = 8.444 Å, c = 5.863 Å
α = 90.00°, β = 90.00°, γ = 90.00°
Element x y z (fractional)
1 Pm 0.000 0.157 0.250
2 Pm 0.000 0.843 0.750
3 Pm 0.500 0.343 0.750
4 Pm 0.500 0.657 0.250
5 Mg 0.000 0.500 0.000
6 Mg 0.000 0.500 0.500
7 Mg 0.500 0.000 0.000
8 Mg 0.500 0.000 0.500
9 Rh 0.000 0.207 0.750
10 Rh 0.000 0.793 0.250
11 Rh 0.500 0.293 0.250
12 Rh 0.500 0.707 0.750

## Properties
**Formation energy from the elements**: -470 meV per atom
**D(E_F)**: 0.45 states/eV per atom
**Excess energy over the best structure of this formula in the dataset**: 148 meV per atom
**Magnetic moment**: 0.00 μB per cell

(11)
Below is a relaxed structure of Li17Zn11Ga, with properties calculated at the GGA-PBE level.

a = 8.495 Å, b = 8.495 Å, c = 8.358 Å
α = 109.08°, β = 109.08°, γ = 109.71°
Element x y z (fractional)
1 Li 0.000 0.000 0.000
2 Li 0.001 0.589 0.956
3 Li 0.002 0.320 0.230
4 Li 0.004 0.004 0.642
5 Li 0.004 0.355 0.640
6 Li 0.283 0.691 0.329
7 Li 0.315 0.594 0.642
8 Li 0.320 0.002 0.230
9 Li 0.355 0.004 0.640
10 Li 0.408 0.719 0.047
11 Li 0.411 0.411 0.363
12 Li 0.589 0.001 0.956
13 Li 0.594 0.315 0.642
14 Li 0.650 0.650 0.286
15 Li 0.685 0.685 0.916
16 Li 0.691 0.283 0.329
17 Li 0.719 0.408 0.047
18 Zn 0.002 0.632 0.452
19 Zn 0.002 0.815 0.268
20 Zn 0.182 0.369 0.010
21 Zn 0.185 0.817 0.827
22 Zn 0.186 0.186 0.455
23 Zn 0.369 0.182 0.010
24 Zn 0.632 0.002 0.452
25 Zn 0.632 0.814 0.641
26 Zn 0.814 0.632 0.641
27 Zn 0.815 0.002 0.268
28 Zn 0.817 0.185 0.827
29 Ga 0.376 0.376 0.824

## Properties
**Formation energy from the elements**: -166 meV per atom
**D(E_F)**: 0.46 states/eV per atom
**Magnetic moment**: 0.00 μB per cell

(12)
Below is a relaxed structure of SnAuS2Cl, with properties calculated at the GGA-PBE level.

a = 4.913 Å, b = 4.913 Å, c = 4.908 Å
α = 90.00°, β = 90.00°, γ = 90.00°
Element x y z (fractional)
1 Sn 0.000 0.000 0.000
2 Au 0.500 0.500 0.500
3 S 0.000 0.500 0.500
4 S 0.500 0.000 0.500
5 Cl 0.500 0.500 0.000

## Properties
**Uncorrected formation energy**: 0.153 eV per atom
**D(E_F)**: 0.58 states/eV per atom
**Excess energy over the best structure of this formula in the dataset**: 0 meV per atom
**Magnetic moment**: 0.00 μB per cell

(13)
Below is a relaxed structure of Zr2CuRh, with properties calculated at the GGA-PBE level.

a = 3.363 Å, b = 3.363 Å, c = 6.331 Å
α = 90.00°, β = 90.00°, γ = 90.00°
Element x y z (fractional)
1 Zr 0.000 0.000 0.000
2 Zr 0.500 0.500 0.323
3 Cu 0.000 0.000 0.549
4 Rh 0.500 0.500 0.771

## Properties
**Formation energy from the elements**: -358 meV per atom
**D(E_F)**: 0.90 states/eV per atom
**Magnetic moment**: 0.00 μB per cell

(14)
Below is a relaxed structure of PmBe2Au8, with properties calculated at the GGA-PBE level.

a = 6.756 Å, b = 6.756 Å, c = 4.815 Å
α = 96.16°, β = 96.16°, γ = 112.00°
Element x y z (fractional)
1 Pm 0.000 0.000 0.000
2 Be 0.314 0.686 0.500
3 Be 0.686 0.314 0.500
4 Au 0.059 0.326 0.565
5 Au 0.271 0.729 0.000
6 Au 0.326 0.059 0.565
7 Au 0.403 0.403 0.217
8 Au 0.597 0.597 0.783
9 Au 0.674 0.941 0.435
10 Au 0.729 0.271 0.000
11 Au 0.941 0.674 0.435

## Properties
**Formation energy from the elements**: -254 meV per atom
**D(E_F)**: 0.40 states/eV per atom
**Magnetic moment**: 0.00 μB per cell

(15)
Below is a relaxed structure of HPdF, with properties calculated at the GGA-PBE level.

a = 3.063 Å, b = 3.117 Å, c = 7.692 Å
α = 101.63°, β = 91.55°, γ = 114.59°
Element x y z (fractional)
1 H 0.000 0.000 0.000
2 H 0.254 0.755 0.501
3 Pd 0.549 0.093 0.138
4 Pd 0.959 0.416 0.865
5 F 0.112 0.747 0.360
6 F 0.395 0.761 0.642

## Properties
**D(E_F)**: 0.20 states/eV per atom
**Excess energy over the best structure of this formula in the dataset**: 82 meV per atom
**Magnetic moment**: 0.00 μB per cell

(16)
Below is a relaxed structure of LaPmEr2Hg4, with properties calculated at the GGA-PBE level.

a = 9.284 Å, b = 9.284 Å, c = 9.284 Å
α = 33.48°, β = 33.48°, γ = 33.48°
Element x y z (fractional)
1 La 0.000 0.000 0.000
2 Pm 0.500 0.500 0.500
3 Er 0.249 0.249 0.249
4 Er 0.751 0.751 0.751
5 Hg 0.126 0.126 0.126
6 Hg 0.377 0.377 0.377
7 Hg 0.623 0.623 0.623
8 Hg 0.874 0.874 0.874

## Properties
**Formation energy from the elements**: -467 meV per atom
**D(E_F)**: 1.07 states/eV per atom
**Magnetic moment**: 0.84 μB per cell

(17)
Below is a relaxed structure of Rb7AuBr2O2, with properties calculated at the GGA-PBE level.

a = 13.838 Å, b = 13.838 Å, c = 13.838 Å
α = 159.42°, β = 37.32°, γ = 149.21°
Element x y z (fractional)
1 Rb 0.000 0.000 0.000
2 Rb 0.055 0.440 0.615
3 Rb 0.361 0.155 0.206
4 Rb 0.371 0.456 0.915
5 Rb 0.542 0.456 0.085
6 Rb 0.825 0.440 0.385
7 Rb 0.949 0.155 0.794
8 Au 0.644 0.144 0.500
9 Br 0.452 0.655 0.797
10 Br 0.859 0.655 0.203
11 O 0.012 0.114 0.898
12 O 0.216 0.114 0.102

## Properties
**Uncorrected formation energy**: -1.067 eV per atom
**Magnetic moment**: 0.19 μB per cell

(18)
Below is a relaxed structure of Tl2CdFeI, with properties calculated at the GGA-PBE level.

a = 5.383 Å, b = 5.383 Å, c = 5.280 Å
α = 90.00°, β = 90.00°, γ = 90.00°
Element x y z (fractional)
1 Tl 0.000 0.500 0.000
2 Tl 0.500 0.000 0.000
3 Cd 0.000 0.000 0.500
4 Fe 0.500 0.500 0.000
5 I 0.500 0.500 0.500

## Properties
**Uncorrected formation energy**: 0.283 eV per atom
**D(E_F)**: 0.71 states/eV per atom
**Magnetic moment**: 2.15 μB per cell

(19)
Below is a relaxed structure of BeCoIr, with properties calculated at the GGA-PBE level.

a = 2.644 Å, b = 2.644 Å, c = 5.772 Å
α = 90.00°, β = 90.00°, γ = 120.00°
Element x y z (fractional)
1 Be 0.000 0.000 0.000
2 Co 0.667 0.333 0.308
3 Ir 0.333 0.667 0.674

## Properties
**Formation energy from the elements**: -46 meV per atom
**D(E_F)**: 1.33 states/eV per atom
**Excess energy over the best structure of this formula in the dataset**: 203 meV per atom
**Magnetic moment**: 1.46 μB per cell

(20)
Below is a relaxed structure of Cs2InIO6, with properties calculated at the GGA-PBE level.

a = 6.716 Å, b = 6.716 Å, c = 5.655 Å
α = 90.00°, β = 90.00°, γ = 120.00°
Element x y z (fractional)
1 Cs 0.333 0.667 0.178
2 Cs 0.667 0.333 0.822
3 In 0.000 0.000 0.500
4 I 0.000 0.000 0.000
5 O 0.131 0.262 0.790
6 O 0.131 0.869 0.790
7 O 0.262 0.131 0.210
8 O 0.738 0.869 0.790
9 O 0.869 0.131 0.210
10 O 0.869 0.738 0.210

## Properties
**Uncorrected formation energy**: -1.088 eV per atom
**D(E_F)**: 0.00 states/eV per atom
**Magnetic moment**: 0.00 μB per cell